Here is an optimized crystal structure of BiSb2Pt7 from the Alexandria database. Energies are from GGA-PBE.

POSCAR file:
```
BiSb2Pt7
1.0
3.947 0.000 -0.759
-0.146 3.944 -0.759
0.305 0.316 12.218
Sb Pt Bi
2 7 1
Cartesian
1.452 1.507 7.545
2.653 2.753 3.154
0.347 2.408 1.802
1.900 1.972 -0.759
2.393 0.436 1.802
3.758 1.852 8.897
3.076 1.144 5.350
1.029 3.116 5.350
1.712 3.824 8.897
0.000 0.000 0.000
```

Values from the calculation:
DOS(E_F) = 4.091 states/eV per cell
formation energy (no corrections) = -0.21 eV per atom